No. 1
! SnI2NCl (GGA-PBE, relaxed); values from VASP
! **N(E_F)**: 1.2452 states/eV per atom
! **E_form (uncorrected)**: 0.688 eV per atom
&SYSTEM
  ibrav = 0, nat = 5, ntyp = 4
/
ATOMIC_SPECIES
Sn 118.71 Sn.upf
I 126.90 I.upf
N 14.01 N.upf
Cl 35.45 Cl.upf
CELL_PARAMETERS angstrom
6.0641 0.0000 0.0000
0.0000 6.0641 0.0000
0.0000 0.0000 4.0146
ATOMIC_POSITIONS crystal
Sn 0.0000 0.0000 0.0000
I 0.0000 0.5000 0.0000
I 0.5000 0.0000 0.0000
N 0.0000 0.0000 0.5000
Cl 0.5000 0.5000 0.5000



No. 2
! SnI2NCl (GGA-PBE, relaxed); values from VASP
! **N(E_F)**: 1.0319 states/eV per atom
! **E_form (uncorrected)**: 0.968 eV per atom
&SYSTEM
  ibrav = 0, nat = 5, ntyp = 4
/
ATOMIC_SPECIES
Sn 118.71 Sn.upf
I 126.90 I.upf
N 14.01 N.upf
Cl 35.45 Cl.upf
CELL_PARAMETERS angstrom
6.7663 0.0000 0.0000
0.0000 6.7663 0.0000
0.0000 0.0000 3.4225
ATOMIC_POSITIONS crystal
Sn 0.0000 0.0000 0.0000
I 0.0000 0.5000 0.5000
I 0.5000 0.0000 0.5000
N 0.5000 0.5000 0.0000
Cl 0.5000 0.5000 0.5000



No. 3
! SrI2NCl (GGA-PBE, relaxed); values from VASP
! **N(E_F)**: 0.5643 states/eV per atom
! **E_form (uncorrected)**: 0.337 eV per atom
&SYSTEM
  ibrav = 0, nat = 5, ntyp = 4
/
ATOMIC_SPECIES
Sr 87.62 Sr.upf
I 126.90 I.upf
N 14.01 N.upf
Cl 35.45 Cl.upf
CELL_PARAMETERS angstrom
6.3773 0.0000 0.0000
0.0000 6.3773 0.0000
0.0000 0.0000 3.7761
ATOMIC_POSITIONS crystal
Sr 0.0000 0.0000 0.0000
I 0.0000 0.5000 0.5000
I 0.5000 0.0000 0.5000
N 0.5000 0.5000 0.0000
Cl 0.5000 0.5000 0.5000



No. 4
! SrI2NCl (GGA-PBE, relaxed); values from VASP
! **N(E_F)**: 1.3086 states/eV per atom
! **E_form (uncorrected)**: 0.290 eV per atom
&SYSTEM
  ibrav = 0, nat = 5, ntyp = 4
/
ATOMIC_SPECIES
Sr 87.62 Sr.upf
I 126.90 I.upf
N 14.01 N.upf
Cl 35.45 Cl.upf
CELL_PARAMETERS angstrom
6.4693 0.0000 0.0000
0.0000 6.4693 0.0000
0.0000 0.0000 5.0913
ATOMIC_POSITIONS crystal
Sr 0.0000 0.0000 0.0000
I 0.0000 0.5000 0.0000
I 0.5000 0.0000 0.0000
N 0.0000 0.0000 0.5000
Cl 0.5000 0.5000 0.5000



No. 5
! TaIN2Cl (GGA-PBE, relaxed); values from VASP
! **N(E_F)**: 0.9577 states/eV per atom
! **E_form (uncorrected)**: 2.589 eV per atom
&SYSTEM
  ibrav = 0, nat = 5, ntyp = 4
/
ATOMIC_SPECIES
Ta 180.95 Ta.upf
I 126.90 I.upf
N 14.01 N.upf
Cl 35.45 Cl.upf
CELL_PARAMETERS angstrom
4.0129 0.0000 0.0000
0.0000 4.0129 0.0000
0.0000 0.0000 5.1477
ATOMIC_POSITIONS crystal
Ta 0.0000 0.0000 0.0000
I 0.5000 0.5000 0.0000
N 0.0000 0.5000 0.5000
N 0.5000 0.0000 0.5000
Cl 0.5000 0.5000 0.5000



No. 6
! TaIN2Cl (GGA-PBE, relaxed); values from VASP
! **N(E_F)**: 0.5266 states/eV per atom
! **E_form (uncorrected)**: 0.394 eV per atom
&SYSTEM
  ibrav = 0, nat = 5, ntyp = 4
/
ATOMIC_SPECIES
Ta 180.95 Ta.upf
I 126.90 I.upf
N 14.01 N.upf
Cl 35.45 Cl.upf
CELL_PARAMETERS angstrom
4.0547 0.0000 0.0000
0.0000 4.0547 0.0000
0.0000 0.0000 5.9919
ATOMIC_POSITIONS crystal
Ta 0.0000 0.0000 0.0000
I 0.0000 0.0000 0.5000
N 0.0000 0.5000 0.0000
N 0.5000 0.0000 0.0000
Cl 0.5000 0.5000 0.5000



No. 7
! TcIN2Cl (GGA-PBE, relaxed); values from VASP
! **N(E_F)**: 0.5435 states/eV per atom
! **E_form (uncorrected)**: 2.538 eV per atom
&SYSTEM
  ibrav = 0, nat = 5, ntyp = 4
/
ATOMIC_SPECIES
Tc 98.00 Tc.upf
I 126.90 I.upf
N 14.01 N.upf
Cl 35.45 Cl.upf
CELL_PARAMETERS angstrom
3.9851 0.0000 0.0000
0.0000 3.9851 0.0000
0.0000 0.0000 6.8468
ATOMIC_POSITIONS crystal
Tc 0.0000 0.0000 0.0000
I 0.5000 0.5000 0.0000
N 0.0000 0.5000 0.5000
N 0.5000 0.0000 0.5000
Cl 0.5000 0.5000 0.5000



No. 8
! TcIN2Cl (GGA-PBE, relaxed); values from VASP
! **N(E_F)**: 0.6936 states/eV per atom
! **E_form (uncorrected)**: 0.766 eV per atom
&SYSTEM
  ibrav = 0, nat = 5, ntyp = 4
/
ATOMIC_SPECIES
Tc 98.00 Tc.upf
I 126.90 I.upf
N 14.01 N.upf
Cl 35.45 Cl.upf
CELL_PARAMETERS angstrom
3.9168 0.0000 0.0000
0.0000 3.9168 0.0000
0.0000 0.0000 5.8466
ATOMIC_POSITIONS crystal
Tc 0.0000 0.0000 0.0000
I 0.0000 0.0000 0.5000
N 0.0000 0.5000 0.0000
N 0.5000 0.0000 0.0000
Cl 0.5000 0.5000 0.5000



No. 9
! TeI2NCl (GGA-PBE, relaxed); values from VASP
! **N(E_F)**: 1.1480 states/eV per atom
! **E_form (uncorrected)**: 0.805 eV per atom
&SYSTEM
  ibrav = 0, nat = 5, ntyp = 4
/
ATOMIC_SPECIES
Te 127.60 Te.upf
I 126.90 I.upf
N 14.01 N.upf
Cl 35.45 Cl.upf
CELL_PARAMETERS angstrom
6.2745 0.0000 0.0000
0.0000 6.2745 0.0000
0.0000 0.0000 3.9538
ATOMIC_POSITIONS crystal
Te 0.0000 0.0000 0.0000
I 0.0000 0.5000 0.0000
I 0.5000 0.0000 0.0000
N 0.0000 0.0000 0.5000
Cl 0.5000 0.5000 0.5000



No. 10
! TeI2NCl (GGA-PBE, relaxed); values from VASP
! **N(E_F)**: 0.9074 states/eV per atom
! **E_form (uncorrected)**: 0.913 eV per atom
&SYSTEM
  ibrav = 0, nat = 5, ntyp = 4
/
ATOMIC_SPECIES
Te 127.60 Te.upf
I 126.90 I.upf
N 14.01 N.upf
Cl 35.45 Cl.upf
CELL_PARAMETERS angstrom
4.9537 0.0000 0.0000
0.0000 4.9537 0.0000
0.0000 0.0000 4.9841
ATOMIC_POSITIONS crystal
Te 0.0000 0.0000 0.0000
I 0.0000 0.5000 0.5000
I 0.5000 0.0000 0.5000
N 0.0000 0.0000 0.5000
Cl 0.5000 0.5000 0.0000



No. 11
! Te2INCl (GGA-PBE, relaxed); values from VASP
! **N(E_F)**: 1.1636 states/eV per atom
! **E_form (uncorrected)**: 1.277 eV per atom
&SYSTEM
  ibrav = 0, nat = 5, ntyp = 4
/
ATOMIC_SPECIES
Te 127.60 Te.upf
I 126.90 I.upf
N 14.01 N.upf
Cl 35.45 Cl.upf
CELL_PARAMETERS angstrom
6.1543 0.0000 0.0000
0.0000 6.1543 0.0000
0.0000 0.0000 3.8836
ATOMIC_POSITIONS crystal
Te 0.0000 0.5000 0.0000
Te 0.5000 0.0000 0.0000
I 0.0000 0.0000 0.0000
N 0.0000 0.0000 0.5000
Cl 0.5000 0.5000 0.5000



No. 12
! Te2INCl (GGA-PBE, relaxed); values from VASP
! **N(E_F)**: 0.7540 states/eV per atom
! **E_form (uncorrected)**: 0.846 eV per atom
&SYSTEM
  ibrav = 0, nat = 5, ntyp = 4
/
ATOMIC_SPECIES
Te 127.60 Te.upf
I 126.90 I.upf
N 14.01 N.upf
Cl 35.45 Cl.upf
CELL_PARAMETERS angstrom
4.8822 0.0000 0.0000
0.0000 4.8822 0.0000
0.0000 0.0000 4.9351
ATOMIC_POSITIONS crystal
Te 0.0000 0.5000 0.0000
Te 0.5000 0.0000 0.0000
I 0.0000 0.0000 0.5000
N 0.0000 0.0000 0.0000
Cl 0.5000 0.5000 0.5000